[1]
{
  "formula": "PmNdPu2Sb4",
  "functional": "PBE",
  "state": "optimized geometry",
  "cell": [[4.470, 0.000, 0.000], [0.000, 7.722, -0.148], [0.000, 2.725, 7.245]],
  "species": ["Sb", "Sb", "Sb", "Sb", "Pu", "Pu", "Pm", "Nd"],
  "fractional_positions": [[0.500, 0.242, 0.752], [0.000, 0.758, 0.746], [0.000, 0.242, 0.254], [0.500, 0.758, 0.248], [0.500, 0.000, 0.500], [0.000, 0.000, 0.000], [0.000, 0.500, 0.500], [0.500, 0.500, 0.000]],
  "total_energy_ev_per_atom": -7.721,
  "rho_g_cm3": 8.333,
  "e_form_raw_mev_per_atom": -887,
  "dos_ef_per_ev_fu": 29.2
}


[2]
{
  "formula": "PmNdPuSc",
  "functional": "PBE",
  "state": "optimized geometry",
  "cell": [[-2.615, -0.162, 4.900], [2.781, -1.449, 4.587], [1.134, 3.811, 3.881]],
  "species": ["Pu", "Nd", "Pm", "Sc"],
  "fractional_positions": [[0.500, 0.500, 0.500], [0.750, 0.750, 0.750], [0.250, 0.250, 0.250], [0.000, 0.000, 0.000]],
  "total_energy_ev_per_atom": -7.332,
  "rho_g_cm3": 7.916,
  "dos_ef_per_ev_fu": 13.3
}


[3]
{
  "formula": "PmNdPu2Se4",
  "functional": "PBE",
  "state": "optimized geometry",
  "cell": [[-0.734, 3.756, -1.651], [-5.241, -2.850, -4.152], [-6.286, 0.323, 3.529]],
  "species": ["Se", "Se", "Se", "Se", "Pu", "Pu", "Pm", "Nd"],
  "fractional_positions": [[0.500, 0.244, 0.751], [0.000, 0.757, 0.746], [0.000, 0.243, 0.254], [0.500, 0.756, 0.249], [0.000, 0.000, 0.000], [0.500, 0.000, 0.500], [0.000, 0.500, 0.500], [0.500, 0.500, 0.000]],
  "total_energy_ev_per_atom": -8.218,
  "rho_g_cm3": 8.800,
  "e_form_raw_mev_per_atom": -1703,
  "dos_ef_per_ev_fu": 18.7
}


[4]
{
  "formula": "Pm2Nd3PuSe6",
  "functional": "PBE",
  "state": "optimized geometry",
  "cell": [[4.184, 0.000, 0.000], [0.000, 8.442, 0.297], [-2.092, -2.436, 8.839]],
  "species": ["Nd", "Nd", "Nd", "Se", "Se", "Se", "Se", "Se", "Se", "Pm", "Pm", "Pu"],
  "fractional_positions": [[0.500, 0.500, 0.000], [0.833, 0.165, 0.666], [0.167, 0.835, 0.334], [0.668, 0.582, 0.336], [0.332, 0.418, 0.664], [0.335, 0.916, 0.670], [0.000, 0.755, 0.000], [0.665, 0.084, 0.330], [0.000, 0.245, 0.000], [0.835, 0.670, 0.670], [0.165, 0.330, 0.330], [0.500, 0.000, 0.000]],
  "total_energy_ev_per_atom": -6.721,
  "rho_g_cm3": 7.587,
  "e_form_raw_mev_per_atom": -1800,
  "dos_ef_per_ev_fu": 10.6
}


[5]
{
  "formula": "Pm2NdPu3Se6",
  "functional": "PBE",
  "state": "optimized geometry",
  "cell": [[4.164, 0.000, 0.000], [0.000, 8.365, 0.266], [-2.082, -2.437, 8.783]],
  "species": ["Pu", "Pu", "Pu", "Pm", "Pm", "Se", "Se", "Se", "Se", "Se", "Se", "Nd"],
  "fractional_positions": [[0.500, 0.500, 0.000], [0.834, 0.167, 0.667], [0.166, 0.833, 0.333], [0.167, 0.333, 0.333], [0.833, 0.667, 0.667], [0.669, 0.081, 0.337], [0.999, 0.255, 0.998], [0.001, 0.745, 0.002], [0.331, 0.919, 0.663], [0.334, 0.414, 0.669], [0.666, 0.586, 0.331], [0.500, 0.000, 0.000]],
  "total_energy_ev_per_atom": -8.218,
  "rho_g_cm3": 8.823,
  "e_form_raw_mev_per_atom": -1703,
  "dos_ef_per_ev_fu": 27.6
}


[6]
{
  "formula": "PmNd2PuSe4",
  "functional": "PBE",
  "state": "optimized geometry",
  "cell": [[-3.507, -2.268, -0.216], [2.448, -4.295, 5.346], [-3.757, 5.531, 2.901]],
  "species": ["Se", "Se", "Se", "Se", "Nd", "Nd", "Pm", "Pu"],
  "fractional_positions": [[0.000, 0.746, 0.244], [0.000, 0.254, 0.756], [0.500, 0.749, 0.755], [0.500, 0.251, 0.245], [0.500, 0.000, 0.500], [0.000, 0.500, 0.500], [0.000, 0.000, 0.000], [0.500, 0.500, 0.000]],
  "total_energy_ev_per_atom": -7.096,
  "rho_g_cm3": 7.870,
  "e_form_raw_mev_per_atom": -1776,
  "dos_ef_per_ev_fu": 10.0
}


[7]
{
  "formula": "Pm2NdPuSe4",
  "functional": "PBE",
  "state": "optimized geometry",
  "cell": [[-2.739, -2.239, 2.214], [4.020, 0.995, 5.979], [-4.847, 5.390, -0.547]],
  "species": ["Pm", "Pm", "Se", "Se", "Se", "Se", "Pu", "Nd"],
  "fractional_positions": [[0.500, 0.000, 0.500], [0.000, 0.500, 0.500], [0.000, 0.746, 0.248], [0.500, 0.746, 0.750], [0.500, 0.254, 0.250], [0.000, 0.254, 0.752], [0.500, 0.500, 0.000], [0.000, 0.000, 0.000]],
  "total_energy_ev_per_atom": -7.092,
  "rho_g_cm3": 7.921,
  "e_form_raw_mev_per_atom": -1775,
  "dos_ef_per_ev_fu": 10.2
}


[8]
{
  "formula": "Pm4NdPu3Se8",
  "functional": "PBE",
  "state": "optimized geometry",
  "cell": [[-4.989, 5.158, 4.257], [-5.474, -6.240, 1.145], [7.954, -0.973, 2.324]],
  "species": ["Se", "Se", "Se", "Se", "Se", "Se", "Se", "Se", "Pm", "Pm", "Pm", "Pm", "Pu", "Pu", "Pu", "Nd"],
  "fractional_positions": [[0.252, 0.255, 0.504], [0.749, 0.252, 0.003], [0.251, 0.748, 0.997], [0.749, 0.252, 0.498], [0.254, 0.252, 0.003], [0.748, 0.745, 0.496], [0.746, 0.748, 0.997], [0.251, 0.748, 0.502], [0.000, 0.000, 0.500], [0.000, 0.000, 0.000], [0.500, 0.000, 0.000], [0.500, 0.000, 0.500], [0.500, 0.500, 0.500], [0.000, 0.500, 0.500], [0.500, 0.500, 0.000], [0.000, 0.500, 0.000]],
  "total_energy_ev_per_atom": -7.655,
  "rho_g_cm3": 8.388,
  "e_form_raw_mev_per_atom": -1740,
  "dos_ef_per_ev_fu": 28.9
}


Please write out number 1 again, unchanged.
{
  "formula": "PmNdPu2Sb4",
  "functional": "PBE",
  "state": "optimized geometry",
  "cell": [[4.470, 0.000, 0.000], [0.000, 7.722, -0.148], [0.000, 2.725, 7.245]],
  "species": ["Sb", "Sb", "Sb", "Sb", "Pu", "Pu", "Pm", "Nd"],
  "fractional_positions": [[0.500, 0.242, 0.752], [0.000, 0.758, 0.746], [0.000, 0.242, 0.254], [0.500, 0.758, 0.248], [0.500, 0.000, 0.500], [0.000, 0.000, 0.000], [0.000, 0.500, 0.500], [0.500, 0.500, 0.000]],
  "total_energy_ev_per_atom": -7.721,
  "rho_g_cm3": 8.333,
  "e_form_raw_mev_per_atom": -887,
  "dos_ef_per_ev_fu": 29.2
}


Repeat the sixth record exactly.
{
  "formula": "PmNd2PuSe4",
  "functional": "PBE",
  "state": "optimized geometry",
  "cell": [[-3.507, -2.268, -0.216], [2.448, -4.295, 5.346], [-3.757, 5.531, 2.901]],
  "species": ["Se", "Se", "Se", "Se", "Nd", "Nd", "Pm", "Pu"],
  "fractional_positions": [[0.000, 0.746, 0.244], [0.000, 0.254, 0.756], [0.500, 0.749, 0.755], [0.500, 0.251, 0.245], [0.500, 0.000, 0.500], [0.000, 0.500, 0.500], [0.000, 0.000, 0.000], [0.500, 0.500, 0.000]],
  "total_energy_ev_per_atom": -7.096,
  "rho_g_cm3": 7.870,
  "e_form_raw_mev_per_atom": -1776,
  "dos_ef_per_ev_fu": 10.0
}